Record 1
Compound: NaAg2AsN
Source: the Alexandria database
Functional: PBE
Structure: relaxed

a = 4.931 Å, b = 5.752 Å, c = 4.931 Å
α = 90.00°, β = 90.00°, γ = 90.00°
Site moments in Bohr magnetons follow the coordinates.
Positions (direct):
N (0.500, 0.500, 0.500)  1.72
As (0.000, 0.000, 0.000)  0.12
Ag (0.500, 0.000, 0.000)  0.06
Ag (0.000, 0.000, 0.500)  0.04
Na (0.000, 0.500, 0.000)  0.00

Spin magnetization   0.59 μB per atom
Density of states at the Fermi level   0.215 states/eV per atom

***

Record 2
Compound: NiAgAs2N
Source: the Alexandria database
Functional: PBE
Structure: relaxed

a = 4.828 Å, b = 4.717 Å, c = 4.828 Å
α = 90.00°, β = 90.00°, γ = 90.00°
Site moments in Bohr magnetons follow the coordinates.
Positions (direct):
Ag (0.000, 0.000, 0.000)  0.00
Ni (0.000, 0.500, 0.000)  0.69
N (0.500, 0.500, 0.500)  -0.16
As (0.000, 0.000, 0.500)  0.02
As (0.500, 0.000, 0.000)  0.04

Spin magnetization   0.12 μB per atom
Density of states at the Fermi level   1.367 states/eV per atom

***

Record 3
Compound: NpAgAsN
Source: the Alexandria database
Functional: PBE
Structure: relaxed

a = 3.904 Å, b = 3.904 Å, c = 8.936 Å
α = 90.00°, β = 90.00°, γ = 90.00°
Site moments in Bohr magnetons follow the coordinates.
Positions (direct):
Np (0.500, 0.000, 0.127)  2.62
Np (0.000, 0.500, 0.873)  2.62
Ag (0.500, 0.500, 0.500)  -0.05
Ag (0.000, 0.000, 0.500)  -0.05
N (0.000, 0.000, 0.000)  -0.19
N (0.500, 0.500, 0.000)  -0.19
As (0.500, 0.000, 0.715)  -0.15
As (0.000, 0.500, 0.285)  -0.15

Spin magnetization   0.54 μB per atom
Density of states at the Fermi level   1.819 states/eV per atom

***

Record 4
Compound: AgAsNO2
Source: the Alexandria database
Functional: PBE
Structure: relaxed

a = 3.973 Å, b = 3.973 Å, c = 4.097 Å
α = 90.00°, β = 90.00°, γ = 90.00°
Positions (direct):
Ag (0.000, 0.000, 0.000)
N (0.000, 0.000, 0.500)
O (0.000, 0.500, 0.000)
O (0.500, 0.000, 0.000)
As (0.500, 0.500, 0.500)

Spin magnetization   0.00 μB per atom
Density of states at the Fermi level   0.330 states/eV per atom

***

Record 5
Compound: AgAsNO2
Source: the Alexandria database
Functional: PBE
Structure: relaxed

a = 3.773 Å, b = 3.773 Å, c = 3.912 Å
α = 90.00°, β = 90.00°, γ = 90.00°
Site moments in Bohr magnetons follow the coordinates.
Positions (direct):
As (0.000, 0.000, 0.000)  -0.02
N (0.000, 0.000, 0.500)  0.60
O (0.000, 0.500, 0.000)  0.12
O (0.500, 0.000, 0.000)  0.12
Ag (0.500, 0.500, 0.500)  0.21

Spin magnetization   0.26 μB per atom
Density of states at the Fermi level   0.305 states/eV per atom

***

Record 6
Compound: PaAgAsN
Source: the Alexandria database
Functional: PBE
Structure: relaxed

a = 3.948 Å, b = 3.948 Å, c = 9.003 Å
α = 90.00°, β = 90.00°, γ = 90.00°
Positions (direct):
Pa (0.500, 0.000, 0.633)
Pa (0.000, 0.500, 0.367)
N (0.500, 0.500, 0.500)
N (0.000, 0.000, 0.500)
As (0.000, 0.500, 0.787)
As (0.500, 0.000, 0.213)
Ag (0.000, 0.000, 0.000)
Ag (0.500, 0.500, 0.000)

Spin magnetization   0.00 μB per atom
Density of states at the Fermi level   0.064 states/eV per atom

***

Record 7
Compound: AgAsPt2N
Source: the Alexandria database
Functional: PBE
Structure: relaxed

a = 5.077 Å, b = 4.708 Å, c = 5.077 Å
α = 90.00°, β = 90.00°, γ = 90.00°
Site moments in Bohr magnetons follow the coordinates.
Positions (direct):
Pt (0.000, 0.000, 0.500)  -0.16
Pt (0.500, 0.000, 0.000)  -0.15
As (0.000, 0.500, 0.000)  -0.08
Ag (0.000, 0.000, 0.000)  -0.01
N (0.500, 0.500, 0.500)  1.69

Spin magnetization   0.39 μB per atom
Density of states at the Fermi level   1.038 states/eV per atom

***

Record 8
Compound: RbAgAsN2
Source: the Alexandria database
Functional: PBE
Structure: relaxed

a = 5.141 Å, b = 7.087 Å, c = 5.141 Å
α = 90.00°, β = 90.00°, γ = 90.00°
Site moments in Bohr magnetons follow the coordinates.
Positions (direct):
Ag (0.500, 0.500, 0.500)  0.03
N (0.000, 0.000, 0.500)  1.75
N (0.500, 0.000, 0.000)  1.53
Rb (0.000, 0.000, 0.000)  0.08
As (0.000, 0.500, 0.000)  -0.77

Spin magnetization   0.68 μB per atom
Density of states at the Fermi level   0.582 states/eV per atom

***

Record 9
Compound: AgAsS2N
Source: the Alexandria database
Functional: PBE
Structure: relaxed

a = 4.880 Å, b = 4.880 Å, c = 3.701 Å
α = 90.00°, β = 90.00°, γ = 90.00°
Site moments in Bohr magnetons follow the coordinates.
Positions (direct):
As (0.000, 0.000, 0.000)  -0.04
Ag (0.500, 0.500, 0.500)  0.04
N (0.000, 0.000, 0.500)  0.53
S (0.000, 0.500, 0.000)  0.20
S (0.500, 0.000, 0.000)  0.20

Spin magnetization   0.27 μB per atom
Density of states at the Fermi level   0.698 states/eV per atom

***

Record 10
Compound: AgAsS2N
Source: the Alexandria database
Functional: PBE
Structure: relaxed

a = 4.952 Å, b = 4.952 Å, c = 3.934 Å
α = 90.00°, β = 90.00°, γ = 90.00°
Site moments in Bohr magnetons follow the coordinates.
Positions (direct):
S (0.500, 0.000, 0.000)  0.07
S (0.000, 0.500, 0.000)  0.07
Ag (0.000, 0.000, 0.000)  0.12
As (0.500, 0.500, 0.500)  -0.03
N (0.000, 0.000, 0.500)  1.09

Spin magnetization   0.37 μB per atom
Density of states at the Fermi level   0.327 states/eV per atom

***

Record 11
Compound: Ag2AsS4N
Source: the Alexandria database
Functional: PBE
Structure: relaxed

a = 6.494 Å, b = 6.494 Å, c = 6.494 Å
α = 129.21°, β = 129.21°, γ = 74.68°
Positions (direct):
S (0.195, 0.195, 0.579)
S (0.384, 0.805, 0.000)
S (0.805, 0.384, 0.000)
S (0.616, 0.616, 0.421)
N (0.500, 0.500, 0.000)
Ag (0.750, 0.250, 0.500)
Ag (0.250, 0.750, 0.500)
As (0.000, 0.000, 0.000)

Spin magnetization   0.00 μB per atom
Density of states at the Fermi level   0.008 states/eV per atom

***

Record 12
Compound: AgAsSeN2
Source: the Alexandria database
Functional: PBE
Structure: relaxed

a = 4.067 Å, b = 4.067 Å, c = 5.915 Å
α = 90.00°, β = 90.00°, γ = 90.00°
Site moments in Bohr magnetons follow the coordinates.
Positions (direct):
N (0.000, 0.500, 0.000)  1.14
N (0.500, 0.000, 0.000)  1.14
Se (0.000, 0.000, 0.500)  0.10
Ag (0.000, 0.000, 0.000)  0.27
As (0.500, 0.500, 0.500)  -0.36

Spin magnetization   0.59 μB per atom
Density of states at the Fermi level   0.541 states/eV per atom

***

Record 13
Compound: AgAsSeN2
Source: the Alexandria database
Functional: PBE
Structure: relaxed

a = 3.721 Å, b = 3.721 Å, c = 6.099 Å
α = 90.00°, β = 90.00°, γ = 90.00°
Site moments in Bohr magnetons follow the coordinates.
Positions (direct):
As (0.000, 0.000, 0.000)  -0.02
Ag (0.500, 0.500, 0.500)  0.00
Se (0.000, 0.000, 0.500)  0.04
N (0.000, 0.500, 0.000)  0.33
N (0.500, 0.000, 0.000)  0.33

Spin magnetization   0.19 μB per atom
Density of states at the Fermi level   0.633 states/eV per atom

***

Record 14
Compound: AgAs2SeN
Source: the Alexandria database
Functional: PBE
Structure: relaxed

a = 4.373 Å, b = 4.373 Å, c = 4.568 Å
α = 90.00°, β = 90.00°, γ = 90.00°
Positions (direct):
N (0.000, 0.000, 0.000)
As (0.000, 0.500, 0.000)
As (0.500, 0.000, 0.000)
Se (0.000, 0.000, 0.500)
Ag (0.500, 0.500, 0.500)

Spin magnetization   0.00 μB per atom
Density of states at the Fermi level   0.438 states/eV per atom

***

Summary of energy relative to the elements, uncorrected in eV/atom
0.978 2.159 -0.631 1.176 0.279 -1.046 2.326 2.473 0.909 1.369 0.415 1.847 1.198 0.826
(order as listed above)